(1)
## CdSbRu2Pb (GGA-PBE)

Data for a relaxed CdSbRu2Pb crystal.

Cell and atoms, written as extended XYZ:
```
5
Lattice="4.9223 0.0000 0.0000 0.0000 5.3100 0.0000 0.0000 0.0000 4.9223" Properties=species:S:1:pos:R:3 pbc="T T T"
Pb 2.4612 2.6550 2.4612
Sb 0.0000 0.0000 0.0000
Ru 0.0000 0.0000 2.4612
Ru 2.4612 0.0000 0.0000
Cd 0.0000 2.6550 0.0000
```

Results
- E_tot (eV/atom) = -4.394
- formation energy (no corrections) (meV/atom) = 1065
- space group = P4/mmm


(2)
## Cd2SiRuPb (GGA-PBE)

Data for a relaxed Cd2SiRuPb crystal.

Cell and atoms, written as extended XYZ:
```
5
Lattice="5.2586 0.0000 0.0000 0.0000 4.5046 0.0000 0.0000 0.0000 5.2586" Properties=species:S:1:pos:R:3 pbc="T T T"
Pb 2.6293 2.2523 2.6293
Ru 0.0000 0.0000 0.0000
Si 0.0000 2.2523 0.0000
Cd 0.0000 0.0000 2.6293
Cd 2.6293 0.0000 0.0000
```

Results
- E_tot (eV/atom) = -3.770
- formation energy (no corrections) (meV/atom) = 277
- space group = P4/mmm


(3)
## CdSi2RuPb (GGA-PBE)

Data for a relaxed CdSi2RuPb crystal.

Cell and atoms, written as extended XYZ:
```
5
Lattice="4.5904 0.0000 0.0000 0.0000 5.3782 0.0000 0.0000 0.0000 4.5904" Properties=species:S:1:pos:R:3 pbc="T T T"
Pb 2.2952 2.6891 2.2952
Ru 0.0000 0.0000 0.0000
Si 0.0000 0.0000 2.2952
Si 2.2952 0.0000 0.0000
Cd 0.0000 2.6891 0.0000
```

Results
- E_tot (eV/atom) = -4.703
- formation energy (no corrections) (meV/atom) = 246
- space group = P4/mmm


(4)
## CdTc2RuPb (GGA-PBE)

Data for a relaxed CdTc2RuPb crystal.

Cell and atoms, written as extended XYZ:
```
5
Lattice="5.0792 0.0000 0.0000 0.0000 4.9810 0.0000 0.0000 0.0000 5.0792" Properties=species:S:1:pos:R:3 pbc="T T T"
Pb 0.0000 0.0000 0.0000
Ru 0.0000 2.4905 0.0000
Tc 0.0000 0.0000 2.5396
Tc 2.5396 0.0000 0.0000
Cd 2.5396 2.4905 2.5396
```

Results
- E_tot (eV/atom) = -4.800
- formation energy from the elements (eV/f.u.) = 10.6
- space group = P4/mmm